# 1
Density functional theory data (GGA-PBE) for CaLa3Ga2 after structural relaxation.

```
CaLa3Ga2
1.0
5.323 0.000 0.000
0.000 6.897 0.000
0.000 0.000 9.634
Ca La Ga
2 6 4
direct
0.500 0.510 0.541
0.500 0.010 0.459
0.000 0.496 0.953
0.000 0.996 0.047
0.500 0.704 0.172
0.500 0.204 0.828
0.000 0.293 0.332
0.000 0.793 0.668
0.500 0.727 0.843
0.500 0.227 0.157
0.000 0.270 0.654
0.000 0.770 0.346
```

Results
As for the space group: Pmc2_1, No. 26. The uncorrected energy comes out at -4.2176 eV/atom.

# 2
Density functional theory data (GGA-PBE) for CaLa2Ga2 after structural relaxation.

```
CaLa2Ga2
1.0
4.502 0.000 0.000
0.000 8.109 0.000
0.000 0.000 8.109
Ca La Ga
2 4 4
direct
0.000 0.000 0.000
0.000 0.500 0.500
0.500 0.175 0.675
0.500 0.675 0.825
0.500 0.825 0.325
0.500 0.325 0.175
0.000 0.385 0.885
0.000 0.885 0.615
0.000 0.615 0.115
0.000 0.115 0.385
```

Results
As for the space group: P4/mbm, No. 127. As for the energy above the most stable polymorph in this dataset: 0 meV/atom. The uncorrected energy comes out at -4.0480 eV/atom.

# 3
Density functional theory data (GGA-PBE) for Ca2LaGa2 after structural relaxation.

```
Ca2LaGa2
1.0
-3.347 -6.397 5.437
-2.542 -4.806 -7.220
2.942 -1.546 -0.007
Ca Ga La
4 4 2
direct
0.374 0.874 0.000
0.874 0.626 0.000
0.626 0.126 0.000
0.126 0.374 0.000
0.174 0.674 0.500
0.674 0.826 0.500
0.826 0.326 0.500
0.326 0.174 0.500
0.000 0.000 0.000
0.500 0.500 0.000
```

Results
As for the space group: P4/mbm, No. 127. As for the energy above the most stable polymorph in this dataset: 0 meV/atom. The uncorrected energy comes out at -3.2986 eV/atom.

Look up the uncorrected energy of the second one. -4.0480 eV/atom